Entry 1:
! Y3TmTe4 | Alexandria via LeMat-Bulk | PBE-GGA | optimized geometry; values from VASP
! N(E_F) in states/eV/cell: 9.93
! Space group: Cmmm
! Formation energy without anion corrections in eV/atom: -1.2732
! Energy in eV per atom: -5.827
! Crystal system: orthorhombic
&SYSTEM
  ibrav = 0, nat = 16, ntyp = 3
/
ATOMIC_SPECIES
Y 88.91 Y.upf
Tm 168.93 Tm.upf
Te 127.60 Te.upf
ATOMIC_POSITIONS crystal
Y 0.0000 0.0000 0.0000
Y 0.2500 0.2500 0.5000
Y 0.2500 0.7500 0.5000
Y 0.5000 0.5000 0.0000
Y 0.7500 0.2500 0.5000
Y 0.7500 0.7500 0.5000
Tm 0.0000 0.5000 0.0000
Tm 0.5000 0.0000 0.0000
Te 0.0000 0.2520 0.0000
Te 0.0000 0.7480 0.0000
Te 0.2459 0.5000 0.5000
Te 0.2541 0.0000 0.5000
Te 0.5000 0.2480 0.0000
Te 0.5000 0.7520 0.0000
Te 0.7459 0.0000 0.5000
Te 0.7541 0.5000 0.5000
CELL_PARAMETERS angstrom
8.8044 0.0000 0.0000
0.0000 12.3061 0.0000
0.0000 0.0000 4.2968

Entry 2:
! AcTh2Cu2Ge2 | Alexandria via LeMat-Bulk | PBE-GGA | optimized geometry; values from VASP
! N(E_F) in states/eV/cell: 7.06
! Space group: R-3m
! Energy of formation in kJ/mol of formula units: -261
! Energy in eV per atom: -5.582
! Crystal system: trigonal
&SYSTEM
  ibrav = 0, nat = 7, ntyp = 4
/
ATOMIC_SPECIES
Ac 227.00 Ac.upf
Th 232.04 Th.upf
Cu 63.55 Cu.upf
Ge 72.64 Ge.upf
ATOMIC_POSITIONS crystal
Ac 0.0000 0.0000 0.0000
Th 0.1258 0.1258 0.1258
Th 0.8742 0.8742 0.8742
Cu 0.4037 0.4037 0.4037
Cu 0.5963 0.5963 0.5963
Ge 0.2658 0.2658 0.2658
Ge 0.7342 0.7342 0.7342
CELL_PARAMETERS angstrom
2.1017 1.2134 11.3318
-2.1017 1.2134 11.3318
0.0000 -2.4268 11.3318